# Li2CaPI

An optimized crystal structure of Li2CaPI (PBE-GGA, Alexandria).

Its total DFT energy (no corrections) is -3.508 eV per atom. Its formation energy without anion corrections is -949.7 meV per atom. As for the space group: P4/mmm (123). As for the crystal system: tetragonal. The value obtained for the total magnetic moment is 0.00 μB/f.u.

Cell: 4.818 4.818 5.604 Å, 90.00 90.00 90.00°
Sites, in units of the cell vectors:
Li 0.000 0.500 0.000
Li 0.500 0.000 0.000
Ca 0.000 0.000 0.500
P 0.000 0.000 0.000
I 0.500 0.500 0.500